[1]
The following is a GGA-PBE calculation of a relaxed PrScAlAg crystal, from Alexandria.

Uncorrected energy   -4.699 eV/atom
Formation energy   -0.273 eV per atom
Total magnetization   0.003 μB/f.u.
V   23.80 A^3/atom
Symmetry   F-43m

a = 5.125 Å, b = 5.125 Å, c = 5.125 Å
α = 60.00°, β = 60.00°, γ = 60.00°
Sites, in units of the cell vectors:
Pr: 0.000 0.000 0.000
Sc: 0.500 0.500 0.500
Al: 0.750 0.750 0.750
Ag: 0.250 0.250 0.250

[2]
The following is a GGA-PBE calculation of a relaxed Ba2EuSb crystal, from Alexandria.

Uncorrected energy   -4.929 eV/atom
Total magnetization   8.368 μB/f.u.
V   61.92 A^3/atom
Symmetry   R-3m
Energy relative to the lowest polymorph listed for this composition   0.1311 eV/atom
Formation energy (no corrections)   -368 meV/atom

a = 12.610 Å, b = 12.610 Å, c = 12.610 Å
α = 22.05°, β = 22.05°, γ = 22.05°
Sites, in units of the cell vectors:
Ba: 0.114 0.114 0.114
Ba: 0.886 0.886 0.886
Eu: 0.000 0.000 0.000
Sb: 0.500 0.500 0.500